ThTi2Mn | the Alexandria database | PBE | optimized geometry; DFT formation energy = 0.0063 eV per atom; DOS at the Fermi energy = 2.94 states/eV/f.u.; E = -32.35 eV/cell; mass density = 8.52 g/cm3
1.0
3.1145 0.0000 0.0000
0.0000 3.1145 0.0000
0.0000 0.0000 7.6861
Ti Mn Th
2 1 1
Direct
0.0000 0.0000 0.8204
0.0000 0.0000 0.1796
0.5000 0.5000 0.0000
0.5000 0.5000 0.5000